! RbVSb2Te PBE optimized geometry; values from VASP
! symmetry = P4/mmm
! theoretical density = 5.53 Mg/m³
! excess energy over the best structure of this formula in the dataset = 0 meV/atom
&SYSTEM
  ibrav = 0, nat = 5, ntyp = 4
/
ATOMIC_SPECIES
Sb 121.76 Sb.upf
Rb 85.47 Rb.upf
V 50.94 V.upf
Te 127.60 Te.upf
ATOMIC_POSITIONS crystal
Sb 0.500 0.000 0.000
Rb 0.500 0.500 0.500
Sb 0.000 0.500 0.000
V 0.000 0.000 0.000
Te 0.000 0.000 0.500
CELL_PARAMETERS angstrom
5.234 0.000 0.000
0.000 5.234 0.000
0.000 0.000 5.562